First-principles (GGA-PBE) data for crystalline Er4AlCu2Ag at its relaxed geometry, as listed in Alexandria.

Summary:
symmetry: No. 166

abc: 4.9700 4.9700 8.6732
angles: 73.35 73.35 60.00
Last column: nearest neighbours and their distance in Å.
Fractional positions:
Er 0.3761 0.3761 0.8718  4 Cu 2.95-2.99, 1 Ag 3.04, 3 Al 3.06
Er 0.8749 0.8749 0.3752  3 Ag 3.05, 1 Al 3.07, 4 Cu 3.10-3.21
Er 0.1251 0.1251 0.6248  3 Ag 3.05, 1 Al 3.07, 4 Cu 3.10-3.21
Er 0.6239 0.6239 0.1282  4 Cu 2.95-2.99, 1 Ag 3.04, 3 Al 3.06
Al 0.0000 0.0000 0.0000  8 Er 3.06-3.07
Cu 0.7441 0.7441 0.7678  8 Er 2.95-3.21
Cu 0.2559 0.2559 0.2322  8 Er 2.95-3.21
Ag 0.5000 0.5000 0.5000  8 Er 3.04-3.05



First-principles (GGA-PBE) data for crystalline Er2Al4Cu3Ag at its relaxed geometry, as listed in Alexandria.

Summary:
symmetry: No. 115

abc: 4.0970 4.0970 10.6067
angles: 90.00 90.00 90.00
Last column: nearest neighbours and their distance in Å.
Fractional positions:
Er 0.5000 0.0000 0.2411  6 Cu 3.12-3.43, 8 Al 3.15-3.28, 2 Ag 3.43
Er 0.0000 0.5000 0.7589  6 Cu 3.12-3.43, 8 Al 3.15-3.28, 2 Ag 3.43
Al 0.5000 0.5000 0.0000  4 Cu 2.49
Al 0.0000 0.0000 0.0000  4 Cu 2.49
Al 0.5000 0.0000 0.6429  3 Cu 2.38-2.55, 2 Ag 2.55
Al 0.0000 0.5000 0.3571  3 Cu 2.38-2.55, 2 Ag 2.55
Cu 0.0000 0.0000 0.5000  4 Al 2.55
Cu 0.5000 0.0000 0.8669  5 Al 2.38-2.49
Cu 0.0000 0.5000 0.1331  5 Al 2.38-2.49
Ag 0.5000 0.5000 0.5000  4 Al 2.55



Number 1: DFT formation energy -0.299 eV/atom. Number 2: DFT formation energy -0.376 eV/atom.